LiTc2Mo: relaxed, PBE.

Properties
E_tot = -8.098 eV per atom
ΔH_f (0 K) = 0.27 eV/atom
offset from the most stable computed form = 0.092 eV per atom
N(E_F) = 6.11 states/eV/cell

Unit cell a=9.281 b=9.281 c=9.281 alpha=17.16 beta=17.16 gamma=17.16
Element x y z (fractional)
Li: 0.250 0.250 0.250
Mo: 0.750 0.750 0.750
Tc: 0.003 0.003 0.003
Tc: 0.497 0.497 0.497